Below is a relaxed Ac3ZnHg2Pd6 crystal, with properties calculated at the PBE level.

Structure (extended XYZ):
```
12
Lattice="-4.602 1.086 3.541 4.139 -3.882 1.642 4.664 6.672 4.014" Properties=species:S:1:pos:R:3 pbc="T T T"
Ac 4.133 1.933 4.777
Ac 0.069 1.944 4.421
Ac 0.000 0.000 0.000
Zn 2.332 3.336 2.007
Hg 2.881 5.966 6.841
Hg 1.321 -2.089 2.357
Pd 1.760 -0.569 4.845
Pd 1.984 0.784 2.337
Pd 3.987 -1.094 3.132
Pd 2.218 3.093 6.861
Pd 2.442 4.445 4.353
Pd 0.215 4.971 6.066
```

Output
raw total energy	-4.4614	eV per atom
space-group type	P-3m1
magnetic moment	0.000	μB per atom
formation enthalpy at 0 K	-8.18	eV per formula unit

---

Below is a relaxed Ac2Zn4HgPd3 crystal, with properties calculated at the PBE level.

Structure (extended XYZ):
```
10
Lattice="-0.460 2.590 3.638 -4.252 0.865 -1.153 -3.242 -8.459 5.612" Properties=species:S:1:pos:R:3 pbc="T T T"
Ac -1.029 -0.791 3.203
Ac -4.568 -5.941 3.651
Zn -2.356 1.727 1.243
Zn 0.000 0.000 0.000
Zn -2.296 -4.095 5.395
Zn -3.302 -2.636 1.459
Hg -3.977 -2.502 4.049
Pd -1.621 -4.229 2.806
Pd -3.072 -6.121 6.739
Pd -2.526 -0.610 0.115
```

Output
raw total energy	-3.4729	eV per atom
space-group type	P-4m2
magnetic moment	0.000	μB per atom
formation enthalpy at 0 K	-5.54	eV per formula unit